HfVPd2F | GGA+U | relaxed

Calculated values
- size of the total moment (μB/f.u.) = 1.8
- uncorrected energy (eV/f.u.) = -25.5

Cell lengths 4.550, 4.550, 5.147 Å; angles 90.00, 90.00, 90.00 degrees
Positions (direct):
Hf: 0.000 0.000 0.000
V: 0.000 0.000 0.500
Pd: 0.000 0.500 0.500
Pd: 0.500 0.000 0.500
F: 0.500 0.500 0.000